<1>
VASP calculation (PBE-GGA) on a geometry-optimized TaTi3Mo structure.

Calculated values
Size of the total moment = 0.000 μB per cell
Calculated density = 7.018 Mg/m³

Cell: 4.6338 4.6338 4.6338 Å, 90.00 90.00 90.00°
Closest atoms and distances in Å follow each position.
Space group Pm-3m (No. 221)
Unique sites:
Ta: 0.0000 0.0000 0.0000 [1 per cell]  12 Ti 3.28
Ti: 0.0000 0.5000 0.5000 [3 per cell]  2 Mo 2.32
Mo: 0.5000 0.5000 0.5000 [1 per cell]  6 Ti 2.32


<2>
VASP calculation (PBE-GGA) on a geometry-optimized TaTi3Mo structure.

Calculated values
Size of the total moment = 0.000 μB per cell
Calculated density = 8.238 Mg/m³

Cell: 16.3146 3.1935 6.6353 Å, 90.00 101.27 90.00°
Closest atoms and distances in Å follow each position.
Space group C2/m (No. 12)
Unique sites:
Ta: 0.1992 0.0000 0.3447 [4 per cell]  2 Mo 2.72, 2 Ta 2.86, 4 Ti 2.88-2.91
Ti: 0.0013 0.0000 0.2202 [4 per cell]  4 Mo 2.68-2.77, 5 Ti 2.85-2.91
Ti: 0.0918 0.5000 0.5447 [4 per cell]  7 Ti 2.85-2.94, 2 Ta 2.88
Ti: 0.1924 0.0000 0.8615 [4 per cell]  2 Mo 2.67, 4 Ti 2.85-2.88, 2 Ta 2.91
Mo: 0.1039 0.5000 0.0595 [4 per cell]  6 Ti 2.67-2.77, 2 Ta 2.72


<3>
VASP calculation (PBE-GGA) on a geometry-optimized TaTi3Mo structure.

Calculated values
Size of the total moment = 0.000 μB per cell
Calculated density = 6.787 Mg/m³

Cell: 4.6856 4.6856 4.6856 Å, 90.00 90.00 90.00°
Closest atoms and distances in Å follow each position.
Space group Pm-3m (No. 221)
Unique sites:
Ta: 0.0000 0.0000 0.0000 [1 per cell]  6 Ti 2.34
Ti: 0.0000 0.0000 0.5000 [3 per cell]  2 Ta 2.34
Mo: 0.5000 0.5000 0.5000 [1 per cell]  12 Ti 3.31


Most stable: <2>